NpMnIO6 | GGA+U | relaxed

a = 5.6297 Å, b = 5.6297 Å, c = 9.2001 Å
α = 90.00°, β = 90.00°, γ = 120.00°
With the nearest neighbours (Å) after each atom.
Atoms (fractional coordinates):
Np: 0.3333 0.6667 0.2500  6 O 2.16
Np: 0.6667 0.3333 0.7500  6 O 2.16
Mn: 0.0000 0.0000 0.0000  6 O 2.29
Mn: 0.0000 0.0000 0.5000  6 O 2.29
I: 0.3333 0.6667 0.7500  6 O 2.13
I: 0.6667 0.3333 0.2500  6 O 2.13
O: 0.0044 0.3466 0.6321  1 I 2.13, 1 Np 2.16, 1 Mn 2.29
O: 0.0044 0.6578 0.8679  1 I 2.13, 1 Np 2.16, 1 Mn 2.29
O: 0.3422 0.3466 0.8679  1 I 2.13, 1 Np 2.16, 1 Mn 2.29
O: 0.3422 0.9956 0.6321  1 I 2.13, 1 Np 2.16, 1 Mn 2.29
O: 0.3466 0.0044 0.1321  1 I 2.13, 1 Np 2.16, 1 Mn 2.29
O: 0.3466 0.3422 0.3679  1 I 2.13, 1 Np 2.16, 1 Mn 2.29
O: 0.6534 0.6578 0.6321  1 I 2.13, 1 Np 2.16, 1 Mn 2.29
O: 0.6534 0.9956 0.8679  1 I 2.13, 1 Np 2.16, 1 Mn 2.29
O: 0.6578 0.0044 0.3679  1 I 2.13, 1 Np 2.16, 1 Mn 2.29
O: 0.6578 0.6534 0.1321  1 I 2.13, 1 Np 2.16, 1 Mn 2.29
O: 0.9956 0.3422 0.1321  1 I 2.13, 1 Np 2.16, 1 Mn 2.29
O: 0.9956 0.6534 0.3679  1 I 2.13, 1 Np 2.16, 1 Mn 2.29

Computed properties:
DFT total energy (eV/cell): -130.14
Spin magnetization (μB/f.u.): 7.0